Compound: Ho12ZnCu6
Source: Alexandria
Functional: PBE
Structure: optimized geometry

Total moment, μB per cell: 0.00
Calculated formation energy, eV per formula unit: -3.1
DOS(E_F), states/eV/cell: 12.30
E above lowest polymorph, meV/atom: 0.0
Theoretical density, Mg/m³: 8.70
Space-group type: Im-3, No. 204

Geometry as POSCAR:
```
Ho12ZnCu6
1.0
-4.874 4.874 4.874
4.874 -4.874 4.874
4.874 4.874 -4.874
Ho Zn Cu
12 1 6
direct
0.105 0.293 0.812
0.188 0.482 0.293
0.188 0.895 0.707
0.293 0.188 0.482
0.293 0.812 0.105
0.482 0.293 0.188
0.518 0.707 0.812
0.707 0.188 0.895
0.707 0.812 0.518
0.812 0.105 0.293
0.812 0.518 0.707
0.895 0.707 0.188
0.000 0.000 0.000
0.125 0.500 0.625
0.375 0.875 0.500
0.500 0.375 0.875
0.500 0.625 0.125
0.625 0.125 0.500
0.875 0.500 0.375
```

---

Compound: Ho2Zn5Cu
Source: Alexandria
Functional: PBE
Structure: optimized geometry

Total moment, μB per cell: 0.00
Calculated formation energy, eV per formula unit: -2.4
DOS(E_F), states/eV/cell: 7.82
Theoretical density, Mg/m³: 8.07
Space-group type: Cmcm, No. 63

Geometry as POSCAR:
```
Ho2Zn5Cu
1.0
2.117 -7.945 0.000
2.117 7.945 0.000
0.000 0.000 8.819
Ho Zn Cu
4 10 2
direct
0.000 0.000 0.000
0.000 0.000 0.500
0.193 0.807 0.750
0.807 0.193 0.250
0.190 0.810 0.105
0.190 0.810 0.395
0.355 0.645 0.026
0.355 0.645 0.474
0.399 0.601 0.750
0.601 0.399 0.250
0.645 0.355 0.526
0.645 0.355 0.974
0.810 0.190 0.605
0.810 0.190 0.895
0.448 0.552 0.250
0.552 0.448 0.750
```

---

Compound: HoZnCu3
Source: Alexandria
Functional: PBE
Structure: optimized geometry

Total moment, μB per cell: 0.00
Calculated formation energy, eV per formula unit: -0.7
DOS(E_F), states/eV/cell: 5.89
E above lowest polymorph, meV/atom: 18.6
Theoretical density, Mg/m³: 8.63
Space-group type: Imma, No. 74

Geometry as POSCAR:
```
HoZnCu3
1.0
-2.507 3.508 4.607
2.507 -3.508 4.607
2.507 3.508 -4.607
Ho Zn Cu
2 2 6
direct
0.256 0.006 0.250
0.744 0.994 0.750
0.000 0.500 0.500
0.500 0.500 0.000
0.192 0.000 0.692
0.192 0.500 0.192
0.440 0.690 0.750
0.560 0.310 0.250
0.808 0.000 0.308
0.808 0.500 0.808
```

---

Compound: Ho2Zn5Cu4
Source: Alexandria
Functional: PBE
Structure: optimized geometry

Total moment, μB per cell: 0.00
Calculated formation energy, eV per formula unit: -2.7
DOS(E_F), states/eV/cell: 4.79
Theoretical density, Mg/m³: 8.22
Space-group type: Fmmm, No. 69

Geometry as POSCAR:
```
Ho2Zn5Cu4
1.0
0.000 4.328 8.128
2.615 0.000 8.128
2.615 4.328 0.000
Ho Zn Cu
2 5 4
direct
0.131 0.131 0.869
0.869 0.869 0.131
0.000 0.000 0.500
0.250 0.250 0.250
0.500 0.500 0.000
0.500 0.500 0.500
0.750 0.750 0.750
0.214 0.526 0.474
0.474 0.786 0.214
0.526 0.214 0.786
0.786 0.474 0.526
```